No. 1
Below is crystalline Tb2ScCu2 at its relaxed geometry, with properties calculated at the GGA-PBE level.

Structure (CIF):
```
data_Tb2ScCu2
_chemical_formula_sum 'Tb4 Sc2 Cu4'
_cell_length_a 7.823
_cell_length_b 7.823
_cell_length_c 3.618
_cell_angle_alpha 90.00
_cell_angle_beta 90.00
_cell_angle_gamma 90.00
_symmetry_space_group_name_H-M 'P 4/m b m'
_symmetry_Int_Tables_number 127
_symmetry_space_group_name_Hall '-P 4 2ab'
loop_
_atom_site_label
_atom_site_type_symbol
_atom_site_fract_x
_atom_site_fract_y
_atom_site_fract_z
_atom_site_occupancy
Tb1 Tb 0.170 0.330 0.000 1
Sc1 Sc 0.000 0.000 0.500 1
Cu1 Cu 0.123 0.623 0.500 1
```

V: 221.43 Å³ per cell
Total magnetization: 0.000 μB/f.u.
ΔE_f: -0.160 eV/atom



No. 2
Below is crystalline La7TbPr12 at its relaxed geometry, with properties calculated at the GGA-PBE level.

Structure (CIF):
```
data_La7TbPr12
_chemical_formula_sum 'La21 Tb3 Pr36'
_cell_length_a 15.5194
_cell_length_b 15.5194
_cell_length_c 10.3667
_cell_angle_alpha 90.00
_cell_angle_beta 90.00
_cell_angle_gamma 120.00
_symmetry_space_group_name_H-M 'R -3'
_symmetry_Int_Tables_number 148
_symmetry_space_group_name_Hall '-R 3'
loop_
_atom_site_label
_atom_site_type_symbol
_atom_site_fract_x
_atom_site_fract_y
_atom_site_fract_z
_atom_site_occupancy
La1 La 0.0000 0.0000 0.0000 1
La2 La 0.0642 0.8027 0.4296 1
Tb1 Tb 0.0000 0.0000 0.5000 1
Pr1 Pr 0.0252 0.7815 0.0530 1
Pr2 Pr 0.0516 0.8634 0.7377 1
```

V: 2162.34 Å³ per cell
Total magnetization: 0.000 μB/f.u.
ΔE_f: 0.122 eV/atom